# 1
# InBiI2O

A relaxed InBiI2O crystal (PBE, the Alexandria database).

* energy relative to the elements, uncorrected: -0.394 eV/atom
* DFT total energy: -3.3296 eV per atom

Cell: 6.0339 6.0339 4.4223 Å, 90.00 90.00 90.00°
Closest atoms and distances in Å follow each position.
Atoms (fractional coordinates):
In 0.0000 0.0000 0.0000  8 I 3.74
Bi 0.5000 0.5000 0.5000  2 O 2.21
I 0.0000 0.5000 0.5000  2 Bi 3.02
I 0.5000 0.0000 0.5000  2 Bi 3.02
O 0.5000 0.5000 0.0000  2 Bi 2.21

=====

# 2
# InBiIO2

A relaxed InBiIO2 crystal (PBE, the Alexandria database).

* energy relative to the elements, uncorrected: -0.103 eV/atom
* DFT total energy: -3.7199 eV per atom

Cell: 4.4388 4.4388 5.7260 Å, 90.00 90.00 90.00°
Closest atoms and distances in Å follow each position.
Atoms (fractional coordinates):
In 0.0000 0.0000 0.0000  4 O 2.22
Bi 0.5000 0.5000 0.5000  4 I 3.14
I 0.0000 0.0000 0.5000  2 In 2.86, 4 Bi 3.14
O 0.0000 0.5000 0.0000  2 In 2.22
O 0.5000 0.0000 0.0000  2 In 2.22

=====

# 3
# InBiIO2

A relaxed InBiIO2 crystal (PBE, the Alexandria database).

* energy relative to the elements, uncorrected: -0.351 eV/atom
* DFT total energy: -3.9685 eV per atom

Cell: 4.4149 4.4149 6.2791 Å, 90.00 90.00 90.00°
Closest atoms and distances in Å follow each position.
Atoms (fractional coordinates):
In 0.0000 0.0000 0.0000  4 I 3.12
Bi 0.5000 0.5000 0.5000  4 O 2.21
I 0.5000 0.5000 0.0000  4 In 3.12, 2 Bi 3.14
O 0.0000 0.5000 0.5000  2 Bi 2.21
O 0.5000 0.0000 0.5000  2 Bi 2.21

=====

# 4
# InBiI2O

A relaxed InBiI2O crystal (PBE, the Alexandria database).

* energy relative to the elements, uncorrected: -0.230 eV/atom
* DFT total energy: -3.1652 eV per atom

Cell: 6.2754 6.2754 3.9678 Å, 90.00 90.00 90.00°
Closest atoms and distances in Å follow each position.
Atoms (fractional coordinates):
In 0.0000 0.0000 0.0000  2 O 1.98
Bi 0.5000 0.5000 0.5000  8 I 3.71, 2 Bi 3.97
I 0.0000 0.5000 0.0000  2 In 3.14
I 0.5000 0.0000 0.0000  2 In 3.14
O 0.0000 0.0000 0.5000  2 In 1.98

=====

# 5
# Rb2InBiI6

A relaxed Rb2InBiI6 crystal (PBE, the Alexandria database).

* energy relative to the elements, uncorrected: -0.883 eV/atom
* DFT total energy: -2.6687 eV per atom

Cell: 9.0056 9.0056 9.0056 Å, 58.83 58.83 58.83°
Closest atoms and distances in Å follow each position.
Atoms (fractional coordinates):
Rb 0.0000 0.0000 0.0000  6 I 3.74-3.85
Rb 0.4941 0.4941 0.4941  6 I 3.77-3.87
In 0.2136 0.2136 0.2136  6 I 3.34-3.42
Bi 0.7100 0.7100 0.7100  6 I 3.11-3.13
I 0.0346 0.4660 0.8642  1 Bi 3.11, 1 In 3.42
I 0.3809 0.9371 0.5605  1 Bi 3.13, 1 In 3.34
I 0.4660 0.8642 0.0346  1 Bi 3.11, 1 In 3.42
I 0.5605 0.3809 0.9371  1 Bi 3.13, 1 In 3.34
I 0.8642 0.0346 0.4660  1 Bi 3.11, 1 In 3.42
I 0.9371 0.5605 0.3809  1 Bi 3.13, 1 In 3.34

=====

# 6
# InBiRhI2

A relaxed InBiRhI2 crystal (PBE, the Alexandria database).

* energy relative to the elements, uncorrected: 0.086 eV/atom
* DFT total energy: -3.3284 eV per atom

Cell: 5.6756 5.6756 5.1963 Å, 90.00 90.00 90.00°
Closest atoms and distances in Å follow each position.
Atoms (fractional coordinates):
In 0.0000 0.0000 0.0000  8 I 3.85, 4 Bi 4.01
Bi 0.5000 0.5000 0.0000  2 Rh 2.60
Rh 0.5000 0.5000 0.5000  2 Bi 2.60, 4 I 2.84
I 0.0000 0.5000 0.5000  2 Rh 2.84
I 0.5000 0.0000 0.5000  2 Rh 2.84